Below is a relaxed structure of Te2IBrCl, with properties calculated at the PBE level.

Lattice parameters (Å, degrees): 5.8869 5.8869 5.8619 90.00 90.00 90.00
Last column: nearest neighbours and their distance in Å.
Space group P4/mmm (No. 123)
Inequivalent atoms, fractional coordinates:
Te 0.0000 0.5000 0.0000  2 Br 2.94
I 0.0000 0.0000 0.5000  2 Br 2.93
Br 0.0000 0.0000 0.0000  2 I 2.93, 4 Te 2.94
Cl 0.5000 0.5000 0.5000  8 Te 4.15, 4 I 4.16

M_tot   3.97 μB/cell
ΔE_f (raw)   0.74 eV/atom
DOS(E_F)   1.162 states/eV/atom
Volume   203 Å³ per cell
E_tot   -7.66 eV per cell